No. 1
A plane-wave DFT calculation with PBE-GGA was carried out for a relaxed LiNdTmHg crystal.

Cell lengths 5.280, 5.280, 5.280 Å; angles 60.00, 60.00, 60.00 degrees
Fractional coordinates of all 4 atoms:
1 Tm 0.750 0.750 0.750
2 Nd 0.250 0.250 0.250
3 Hg 0.500 0.500 0.500
4 Li 0.000 0.000 0.000

Properties
- crystal system = cubic
- density (Mg/m³) = 8.307



No. 2
A plane-wave DFT calculation with PBE-GGA was carried out for a relaxed LiNdTm2Hg4 crystal.

Cell lengths 5.091, 5.091, 9.251 Å; angles 74.03, 74.03, 60.00 degrees
Fractional coordinates of all 8 atoms:
1 Li 0.500 0.500 0.500
2 Nd 0.000 0.000 0.000
3 Tm 0.757 0.757 0.729
4 Tm 0.243 0.243 0.271
5 Hg 0.385 0.385 0.845
6 Hg 0.872 0.872 0.383
7 Hg 0.128 0.128 0.617
8 Hg 0.615 0.615 0.155

Properties
- crystal system = trigonal
- density (Mg/m³) = 10.893



No. 3
A plane-wave DFT calculation with PBE-GGA was carried out for a relaxed Li2NdTmHg4 crystal.

Cell lengths 5.046, 5.046, 8.823 Å; angles 73.38, 73.38, 60.00 degrees
Fractional coordinates of all 8 atoms:
1 Li 0.752 0.752 0.743
2 Li 0.248 0.248 0.257
3 Nd 0.000 0.000 0.000
4 Tm 0.500 0.500 0.500
5 Hg 0.379 0.379 0.862
6 Hg 0.872 0.872 0.384
7 Hg 0.128 0.128 0.616
8 Hg 0.621 0.621 0.138

Properties
- crystal system = trigonal
- density (Mg/m³) = 10.211



| no. | E_tot (eV per cell) | N(E_F) (states/eV/atom) | energy relative to the elements (eV/f.u.) |
| --- | --- | --- | --- |
| 1 | -12.2 | 1.3353 | -0.8 |
| 2 | -20.3 | 0.8070 | -3.5 |
| 3 | -17.8 | 0.7034 | -3.5 |